No. 1
Below is NaSr4Dy3S8 after structural relaxation, with properties calculated at the PBE-GGA level.

E	-86.9	eV/f.u.

Structure (extended XYZ):
```
16
Lattice="4.085 2.358 6.733 -4.085 2.358 6.733 0.000 -4.716 6.733" Properties=species:S:1:pos:R:3 pbc="T T T"
Na 0.000 0.000 0.000
Sr -4.085 0.000 10.100
Sr -2.042 1.179 3.367
Sr 2.042 1.179 3.367
Sr 0.000 0.000 10.100
Dy -2.042 -1.179 6.733
Dy -2.042 1.179 13.467
Dy 0.000 2.358 6.733
S 0.000 -2.299 8.279
S -1.991 1.149 8.279
S 0.000 0.000 5.195
S -1.991 -1.149 11.921
S 1.991 1.149 8.279
S 0.000 0.000 15.005
S 1.991 -1.149 11.921
S 0.000 2.299 11.921
```

No. 2
Below is AsSeCl after structural relaxation, with properties calculated at the PBE-GGA level.

E	-9.7	eV/f.u.

Structure (extended XYZ):
```
3
Lattice="-1.681 1.681 6.206 1.681 -1.681 6.206 1.681 1.681 -6.206" Properties=species:S:1:pos:R:3 pbc="T T T"
As 0.000 0.000 0.000
Se 0.000 0.000 7.600
Cl 0.000 0.000 4.388
```

No. 3
Below is Tb2PmNi2 after structural relaxation, with properties calculated at the PBE-GGA level.

ΔH_f (0 K)	-0.210	eV/atom
E	-26.6	eV/f.u.
energy above the lowest structure with this stoichiometry	102.7	meV/atom

Structure (extended XYZ):
```
5
Lattice="5.798 -1.910 0.000 5.798 1.910 0.000 -1.350 0.000 5.371" Properties=species:S:1:pos:R:3 pbc="T T T"
Tb 1.601 0.000 0.479
Tb 8.644 0.000 4.892
Pm 5.123 0.000 2.685
Ni 1.700 0.000 3.291
Ni 8.545 0.000 2.080
```